DFT (PBE) results for an optimized crystal structure of Cs2KTeI. Values from VASP.

Geometry as Quantum ESPRESSO input:
```
&SYSTEM
  ibrav = 0, nat = 5, ntyp = 4
/
ATOMIC_SPECIES
Cs 132.91 Cs.upf
K 39.10 K.upf
Te 127.60 Te.upf
I 126.90 I.upf
CELL_PARAMETERS angstrom
7.330 0.000 0.000
0.000 7.330 0.000
0.000 0.000 6.546
ATOMIC_POSITIONS crystal
Cs 0.000 0.500 0.000
Cs 0.500 0.000 0.000
K 0.000 0.000 0.500
Te 0.000 0.000 0.000
I 0.500 0.500 0.500
```

formation energy (no corrections)	-5.333	eV/f.u.
symmetry	P4/mmm (123)
DFT total energy	-12.8	eV for the cell shown

DFT (PBE) results for an optimized crystal structure of Cs2KTeI6. Values from VASP.

Geometry as Quantum ESPRESSO input:
```
&SYSTEM
  ibrav = 0, nat = 10, ntyp = 4
/
ATOMIC_SPECIES
Cs 132.91 Cs.upf
K 39.10 K.upf
Te 127.60 Te.upf
I 126.90 I.upf
CELL_PARAMETERS angstrom
-4.469 4.469 6.829
4.469 -4.469 6.829
4.469 4.469 -6.829
ATOMIC_POSITIONS crystal
Cs 0.250 0.750 0.500
Cs 0.750 0.250 0.500
K 0.000 0.000 0.000
Te 0.500 0.500 0.000
I 0.247 0.247 0.000
I 0.268 0.268 0.536
I 0.268 0.732 0.000
I 0.732 0.268 0.000
I 0.732 0.732 0.464
I 0.753 0.753 0.000
```

formation energy (no corrections)	-8.785	eV/f.u.
symmetry	I4/mmm (139)
DFT total energy	-24.0	eV for the cell shown

DFT (PBE) results for an optimized crystal structure of CsK2TeI. Values from VASP.

Geometry as Quantum ESPRESSO input:
```
&SYSTEM
  ibrav = 0, nat = 5, ntyp = 4
/
ATOMIC_SPECIES
Cs 132.91 Cs.upf
K 39.10 K.upf
Te 127.60 Te.upf
I 126.90 I.upf
CELL_PARAMETERS angstrom
6.569 0.000 0.000
0.000 6.569 0.000
0.000 0.000 7.383
ATOMIC_POSITIONS crystal
Cs 0.000 0.000 0.000
K 0.000 0.500 0.500
K 0.500 0.000 0.500
Te 0.000 0.000 0.500
I 0.500 0.500 0.000
```

formation energy (no corrections)	-5.304	eV/f.u.
symmetry	P4/mmm (123)
DFT total energy	-13.0	eV for the cell shown

DFT (PBE) results for an optimized crystal structure of CsK2ThI8. Values from VASP.

Geometry as Quantum ESPRESSO input:
```
&SYSTEM
  ibrav = 0, nat = 12, ntyp = 4
/
ATOMIC_SPECIES
Cs 132.91 Cs.upf
K 39.10 K.upf
Th 232.04 Th.upf
I 126.90 I.upf
CELL_PARAMETERS angstrom
6.967 0.000 0.000
0.163 8.359 0.000
0.031 0.003 11.332
ATOMIC_POSITIONS crystal
Cs 0.000 0.000 0.000
K 0.499 0.500 0.272
K 0.501 0.500 0.728
Th 0.000 0.000 0.500
I 0.233 0.683 0.501
I 0.245 0.138 0.700
I 0.245 0.510 0.000
I 0.247 0.136 0.299
I 0.753 0.864 0.701
I 0.755 0.490 0.000
I 0.755 0.862 0.300
I 0.767 0.317 0.499
```

formation energy (no corrections)	-14.888	eV/f.u.
symmetry	P-1 (2)
DFT total energy	-37.8	eV for the cell shown

DFT (PBE) results for an optimized crystal structure of Cs2KThI6. Values from VASP.

Geometry as Quantum ESPRESSO input:
```
&SYSTEM
  ibrav = 0, nat = 20, ntyp = 4
/
ATOMIC_SPECIES
Cs 132.91 Cs.upf
K 39.10 K.upf
Th 232.04 Th.upf
I 126.90 I.upf
CELL_PARAMETERS angstrom
8.800 0.000 0.000
0.000 13.058 0.000
0.000 0.000 9.854
ATOMIC_POSITIONS crystal
Cs 0.250 0.043 0.190
Cs 0.250 0.457 0.190
Cs 0.750 0.543 0.810
Cs 0.750 0.957 0.810
K 0.250 0.250 0.707
K 0.750 0.750 0.293
Th 0.250 0.750 0.789
Th 0.750 0.250 0.211
I 0.006 0.750 0.021
I 0.008 0.250 0.429
I 0.250 0.510 0.789
I 0.250 0.990 0.789
I 0.492 0.250 0.429
I 0.494 0.750 0.021
I 0.506 0.250 0.979
I 0.508 0.750 0.571
I 0.750 0.010 0.211
I 0.750 0.490 0.211
I 0.992 0.750 0.571
I 0.994 0.250 0.979
```

formation energy (no corrections)	-12.995	eV/f.u.
symmetry	Pmmn (59)
DFT total energy	-65.0	eV for the cell shown

DFT (PBE) results for an optimized crystal structure of CsKThI6. Values from VASP.

Geometry as Quantum ESPRESSO input:
```
&SYSTEM
  ibrav = 0, nat = 18, ntyp = 4
/
ATOMIC_SPECIES
Cs 132.91 Cs.upf
K 39.10 K.upf
Th 232.04 Th.upf
I 126.90 I.upf
CELL_PARAMETERS angstrom
8.833 0.000 0.000
-4.416 7.649 0.000
0.000 0.000 15.837
ATOMIC_POSITIONS crystal
Cs 0.000 0.000 0.000
Cs 0.000 0.000 0.500
K 0.333 0.667 0.250
K 0.667 0.333 0.750
Th 0.333 0.667 0.750
Th 0.667 0.333 0.250
I 0.042 0.390 0.637
I 0.042 0.652 0.863
I 0.348 0.390 0.863
I 0.348 0.958 0.637
I 0.390 0.042 0.137
I 0.390 0.348 0.363
I 0.610 0.652 0.637
I 0.610 0.958 0.863
I 0.652 0.042 0.363
I 0.652 0.610 0.137
I 0.958 0.348 0.137
I 0.958 0.610 0.363
```

formation energy (no corrections)	-12.449	eV/f.u.
symmetry	P-31c (163)
DFT total energy	-62.2	eV for the cell shown

DFT (PBE) results for an optimized crystal structure of CsK2TiI6. Values from VASP.

Geometry as Quantum ESPRESSO input:
```
&SYSTEM
  ibrav = 0, nat = 10, ntyp = 4
/
ATOMIC_SPECIES
Cs 132.91 Cs.upf
K 39.10 K.upf
Ti 47.87 Ti.upf
I 126.90 I.upf
CELL_PARAMETERS angstrom
4.346 2.509 7.591
-4.346 2.509 7.591
0.000 -5.018 7.591
ATOMIC_POSITIONS crystal
Cs 0.000 0.000 0.000
K 0.289 0.289 0.289
K 0.804 0.804 0.804
Ti 0.489 0.489 0.489
I 0.150 0.676 0.415
I 0.278 0.577 0.821
I 0.415 0.150 0.676
I 0.577 0.821 0.278
I 0.676 0.415 0.150
I 0.821 0.278 0.577
```

formation energy (no corrections)	-11.569	eV/f.u.
symmetry	R3 (146)
DFT total energy	-31.8	eV for the cell shown

DFT (PBE) results for an optimized crystal structure of Cs2KTiI6. Values from VASP.

Geometry as Quantum ESPRESSO input:
```
&SYSTEM
  ibrav = 0, nat = 20, ntyp = 4
/
ATOMIC_SPECIES
Cs 132.91 Cs.upf
K 39.10 K.upf
Ti 47.87 Ti.upf
I 126.90 I.upf
CELL_PARAMETERS angstrom
8.562 0.000 0.000
0.000 12.431 0.000
0.000 0.000 9.126
ATOMIC_POSITIONS crystal
Cs 0.250 0.020 0.217
Cs 0.250 0.480 0.217
Cs 0.750 0.520 0.783
Cs 0.750 0.980 0.783
K 0.250 0.250 0.720
K 0.750 0.750 0.280
Ti 0.250 0.750 0.776
Ti 0.750 0.250 0.224
I 0.015 0.750 0.559
I 0.019 0.750 0.999
I 0.250 0.522 0.776
I 0.250 0.978 0.776
I 0.481 0.750 0.999
I 0.485 0.750 0.559
I 0.515 0.250 0.441
I 0.519 0.250 0.001
I 0.750 0.022 0.224
I 0.750 0.478 0.224
I 0.981 0.250 0.001
I 0.985 0.250 0.441
```

formation energy (no corrections)	-11.943	eV/f.u.
symmetry	Pmmn (59)
DFT total energy	-63.9	eV for the cell shown

DFT (PBE) results for an optimized crystal structure of CsKTi2I8. Values from VASP.

Geometry as Quantum ESPRESSO input:
```
&SYSTEM
  ibrav = 0, nat = 12, ntyp = 4
/
ATOMIC_SPECIES
Cs 132.91 Cs.upf
K 39.10 K.upf
Ti 47.87 Ti.upf
I 126.90 I.upf
CELL_PARAMETERS angstrom
7.771 0.000 0.000
-3.886 6.730 0.000
0.000 0.000 11.953
ATOMIC_POSITIONS crystal
Cs 0.000 0.000 0.000
K 0.000 0.000 0.500
Ti 0.333 0.667 0.771
Ti 0.667 0.333 0.229
I 0.007 0.342 0.705
I 0.333 0.667 0.991
I 0.334 0.993 0.705
I 0.342 0.334 0.295
I 0.658 0.666 0.705
I 0.666 0.007 0.295
I 0.667 0.333 0.009
I 0.993 0.658 0.295
```

formation energy (no corrections)	-11.461	eV/f.u.
symmetry	P-3 (147)
DFT total energy	-41.6	eV for the cell shown

DFT (PBE) results for an optimized crystal structure of Cs2K3TlI6. Values from VASP.

Geometry as Quantum ESPRESSO input:
```
&SYSTEM
  ibrav = 0, nat = 12, ntyp = 4
/
ATOMIC_SPECIES
Cs 132.91 Cs.upf
K 39.10 K.upf
Tl 204.38 Tl.upf
I 126.90 I.upf
CELL_PARAMETERS angstrom
11.399 -2.602 0.000
11.399 2.602 0.000
-2.463 0.000 10.206
ATOMIC_POSITIONS crystal
Cs 0.166 0.166 0.329
Cs 0.834 0.834 0.671
K 0.166 0.166 0.834
K 0.500 0.500 0.500
K 0.834 0.834 0.166
Tl 0.500 0.500 0.000
I 0.005 0.005 0.757
I 0.335 0.335 0.936
I 0.340 0.340 0.404
I 0.660 0.660 0.596
I 0.665 0.665 0.064
I 0.995 0.995 0.243
```

formation energy (no corrections)	-16.310	eV/f.u.
symmetry	C2/m (12)
DFT total energy	-33.0	eV for the cell shown

DFT (PBE) results for an optimized crystal structure of CsK3Tl2I6. Values from VASP.

Geometry as Quantum ESPRESSO input:
```
&SYSTEM
  ibrav = 0, nat = 12, ntyp = 4
/
ATOMIC_SPECIES
Cs 132.91 Cs.upf
K 39.10 K.upf
Tl 204.38 Tl.upf
I 126.90 I.upf
CELL_PARAMETERS angstrom
11.210 -2.559 0.000
11.210 2.559 0.000
-2.450 0.000 10.020
ATOMIC_POSITIONS crystal
Cs 0.000 0.000 0.000
K 0.000 0.000 0.500
K 0.334 0.334 0.170
K 0.666 0.666 0.830
Tl 0.331 0.331 0.663
Tl 0.669 0.669 0.337
I 0.168 0.168 0.582
I 0.173 0.173 0.088
I 0.500 0.500 0.269
I 0.500 0.500 0.731
I 0.827 0.827 0.912
I 0.832 0.832 0.418
```

formation energy (no corrections)	-14.552	eV/f.u.
symmetry	C2/m (12)
DFT total energy	-32.7	eV for the cell shown

DFT (PBE) results for an optimized crystal structure of Cs3K2TlI6. Values from VASP.

Geometry as Quantum ESPRESSO input:
```
&SYSTEM
  ibrav = 0, nat = 12, ntyp = 4
/
ATOMIC_SPECIES
Cs 132.91 Cs.upf
K 39.10 K.upf
Tl 204.38 Tl.upf
I 126.90 I.upf
CELL_PARAMETERS angstrom
11.562 -2.643 0.000
11.562 2.643 0.000
-2.492 0.000 10.316
ATOMIC_POSITIONS crystal
Cs 0.000 0.000 0.000
Cs 0.334 0.334 0.668
Cs 0.666 0.666 0.332
K 0.333 0.333 0.168
K 0.667 0.667 0.832
Tl 0.000 0.000 0.500
I 0.161 0.161 0.595
I 0.172 0.172 0.069
I 0.494 0.494 0.264
I 0.506 0.506 0.736
I 0.828 0.828 0.931
I 0.839 0.839 0.405
```

formation energy (no corrections)	-16.480	eV/f.u.
symmetry	C2/m (12)
DFT total energy	-32.9	eV for the cell shown

DFT (PBE) results for an optimized crystal structure of Cs2KTlI6. Values from VASP.

Geometry as Quantum ESPRESSO input:
```
&SYSTEM
  ibrav = 0, nat = 20, ntyp = 4
/
ATOMIC_SPECIES
Cs 132.91 Cs.upf
K 39.10 K.upf
Tl 204.38 Tl.upf
I 126.90 I.upf
CELL_PARAMETERS angstrom
8.765 0.000 0.000
0.000 9.229 0.000
-8.731 0.000 12.646
ATOMIC_POSITIONS crystal
Cs 0.226 0.076 0.252
Cs 0.226 0.424 0.752
Cs 0.774 0.576 0.248
Cs 0.774 0.924 0.748
K 0.000 0.000 0.500
K 0.000 0.500 0.000
Tl 0.500 0.000 0.000
Tl 0.500 0.500 0.500
I 0.172 0.179 0.956
I 0.172 0.321 0.456
I 0.278 0.720 0.956
I 0.278 0.780 0.456
I 0.357 0.015 0.768
I 0.357 0.485 0.268
I 0.643 0.515 0.732
I 0.643 0.985 0.232
I 0.722 0.220 0.544
I 0.722 0.280 0.044
I 0.828 0.679 0.544
I 0.828 0.821 0.044
```

formation energy (no corrections)	-10.053	eV/f.u.
symmetry	P2_1/c (14)
DFT total energy	-49.0	eV for the cell shown

DFT (PBE) results for an optimized crystal structure of Cs2KTlI6. Values from VASP.

Geometry as Quantum ESPRESSO input:
```
&SYSTEM
  ibrav = 0, nat = 10, ntyp = 4
/
ATOMIC_SPECIES
Cs 132.91 Cs.upf
K 39.10 K.upf
Tl 204.38 Tl.upf
I 126.90 I.upf
CELL_PARAMETERS angstrom
0.000 6.391 6.391
6.391 0.000 6.391
6.391 6.391 0.000
ATOMIC_POSITIONS crystal
Cs 0.250 0.250 0.250
Cs 0.750 0.750 0.750
K 0.000 0.000 0.000
Tl 0.500 0.500 0.500
I 0.264 0.264 0.736
I 0.264 0.736 0.264
I 0.264 0.736 0.736
I 0.736 0.264 0.264
I 0.736 0.264 0.736
I 0.736 0.736 0.264
```

formation energy (no corrections)	-9.775	eV/f.u.
symmetry	Fm-3m (225)
DFT total energy	-24.2	eV for the cell shown

DFT (PBE) results for an optimized crystal structure of CsKTl2I8. Values from VASP.

Geometry as Quantum ESPRESSO input:
```
&SYSTEM
  ibrav = 0, nat = 12, ntyp = 4
/
ATOMIC_SPECIES
Cs 132.91 Cs.upf
K 39.10 K.upf
Tl 204.38 Tl.upf
I 126.90 I.upf
CELL_PARAMETERS angstrom
-4.029 4.029 9.614
4.029 -4.029 9.614
4.029 4.029 -9.614
ATOMIC_POSITIONS crystal
Cs 0.000 0.000 0.000
K 0.250 0.750 0.500
Tl 0.500 0.500 0.000
Tl 0.750 0.250 0.500
I 0.267 0.662 0.100
I 0.338 0.438 0.605
I 0.421 0.008 0.088
I 0.562 0.167 0.900
I 0.667 0.579 0.587
I 0.833 0.733 0.395
I 0.919 0.333 0.912
I 0.992 0.081 0.413
```

formation energy (no corrections)	-8.231	eV/f.u.
symmetry	I-4 (82)
DFT total energy	-27.3	eV for the cell shown

DFT (PBE) results for an optimized crystal structure of CsKTm2I8. Values from VASP.

Geometry as Quantum ESPRESSO input:
```
&SYSTEM
  ibrav = 0, nat = 12, ntyp = 4
/
ATOMIC_SPECIES
Cs 132.91 Cs.upf
K 39.10 K.upf
Tm 168.93 Tm.upf
I 126.90 I.upf
CELL_PARAMETERS angstrom
4.119 2.378 11.202
-4.119 2.378 11.202
0.000 -4.756 11.202
ATOMIC_POSITIONS crystal
Cs 0.000 0.000 0.000
K 0.500 0.500 0.500
Tm 0.253 0.253 0.253
Tm 0.747 0.747 0.747
I 0.082 0.810 0.423
I 0.190 0.577 0.918
I 0.337 0.337 0.337
I 0.423 0.082 0.810
I 0.577 0.918 0.190
I 0.663 0.663 0.663
I 0.810 0.423 0.082
I 0.918 0.190 0.577
```

formation energy (no corrections)	-16.095	eV/f.u.
symmetry	R-3 (148)
DFT total energy	-39.4	eV for the cell shown

DFT (PBE) results for an optimized crystal structure of CsK2TmI6. Values from VASP.

Geometry as Quantum ESPRESSO input:
```
&SYSTEM
  ibrav = 0, nat = 10, ntyp = 4
/
ATOMIC_SPECIES
Cs 132.91 Cs.upf
K 39.10 K.upf
Tm 168.93 Tm.upf
I 126.90 I.upf
CELL_PARAMETERS angstrom
4.408 2.545 7.787
-4.408 2.545 7.787
0.000 -5.090 7.787
ATOMIC_POSITIONS crystal
Cs 0.000 0.000 0.000
K 0.196 0.196 0.196
K 0.711 0.711 0.711
Tm 0.514 0.514 0.514
I 0.165 0.425 0.737
I 0.330 0.872 0.578
I 0.425 0.737 0.165
I 0.578 0.330 0.872
I 0.737 0.165 0.425
I 0.872 0.578 0.330
```

formation energy (no corrections)	-14.484	eV/f.u.
symmetry	R3 (146)
DFT total energy	-31.3	eV for the cell shown

DFT (PBE) results for an optimized crystal structure of CsKUI6. Values from VASP.

Geometry as Quantum ESPRESSO input:
```
&SYSTEM
  ibrav = 0, nat = 18, ntyp = 4
/
ATOMIC_SPECIES
Cs 132.91 Cs.upf
K 39.10 K.upf
U 238.03 U.upf
I 126.90 I.upf
CELL_PARAMETERS angstrom
8.741 0.000 0.000
-4.371 7.570 0.000
0.000 0.000 15.886
ATOMIC_POSITIONS crystal
Cs 0.000 0.000 0.000
Cs 0.000 0.000 0.500
K 0.333 0.667 0.250
K 0.667 0.333 0.750
U 0.333 0.667 0.750
U 0.667 0.333 0.250
I 0.047 0.393 0.638
I 0.047 0.654 0.862
I 0.346 0.393 0.862
I 0.346 0.953 0.638
I 0.393 0.047 0.138
I 0.393 0.346 0.362
I 0.607 0.654 0.638
I 0.607 0.953 0.862
I 0.654 0.047 0.362
I 0.654 0.607 0.138
I 0.953 0.346 0.138
I 0.953 0.607 0.362
```

formation energy (no corrections)	-10.368	eV/f.u.
symmetry	P-31c (163)
DFT total energy	-65.8	eV for the cell shown

DFT (PBE) results for an optimized crystal structure of Cs2KWI6. Values from VASP.

Geometry as Quantum ESPRESSO input:
```
&SYSTEM
  ibrav = 0, nat = 10, ntyp = 4
/
ATOMIC_SPECIES
Cs 132.91 Cs.upf
K 39.10 K.upf
W 183.84 W.upf
I 126.90 I.upf
CELL_PARAMETERS angstrom
0.000 6.190 6.190
6.190 0.000 6.190
6.190 6.190 0.000
ATOMIC_POSITIONS crystal
Cs 0.250 0.250 0.250
Cs 0.750 0.750 0.750
K 0.000 0.000 0.000
W 0.500 0.500 0.500
I 0.273 0.273 0.727
I 0.273 0.727 0.273
I 0.273 0.727 0.727
I 0.727 0.273 0.273
I 0.727 0.273 0.727
I 0.727 0.727 0.273
```

formation energy (no corrections)	-8.535	eV/f.u.
symmetry	Fm-3m (225)
DFT total energy	-33.6	eV for the cell shown

DFT (PBE) results for an optimized crystal structure of CsK3Zn4I12. Values from VASP.

Geometry as Quantum ESPRESSO input:
```
&SYSTEM
  ibrav = 0, nat = 20, ntyp = 4
/
ATOMIC_SPECIES
Cs 132.91 Cs.upf
K 39.10 K.upf
Zn 65.41 Zn.upf
I 126.90 I.upf
CELL_PARAMETERS angstrom
8.303 4.794 4.770
-8.303 4.794 4.770
0.000 -9.587 4.770
ATOMIC_POSITIONS crystal
Cs 0.000 0.000 0.000
K 0.000 0.540 0.460
K 0.460 0.000 0.540
K 0.540 0.460 0.000
Zn 0.051 0.500 0.949
Zn 0.500 0.500 0.500
Zn 0.500 0.949 0.051
Zn 0.949 0.051 0.500
I 0.052 0.662 0.805
I 0.103 0.897 0.500
I 0.195 0.338 0.948
I 0.338 0.948 0.195
I 0.347 0.653 0.500
I 0.500 0.103 0.897
I 0.500 0.347 0.653
I 0.653 0.500 0.347
I 0.662 0.805 0.052
I 0.805 0.052 0.662
I 0.897 0.500 0.103
I 0.948 0.195 0.338
```

formation energy (no corrections)	-18.283	eV/f.u.
symmetry	R32 (155)
DFT total energy	-46.1	eV for the cell shown